CaCd3Au: optimized geometry, GGA-PBE.

Structure (extended XYZ):
```
10
Lattice="-2.391 3.780 -4.001 -6.773 -2.356 1.822 1.961 4.717 3.284" Properties=species:S:1:pos:R:3 pbc="T T T"
Ca -4.711 2.836 -1.257
Ca -2.492 3.305 2.361
Cd -0.693 3.102 -1.159
Cd -2.296 0.945 0.015
Cd -5.317 1.151 4.261
Cd -4.907 5.195 1.090
Cd -6.510 3.038 2.263
Cd -1.887 4.989 -3.156
Au -4.628 0.946 1.409
Au -2.575 5.195 -0.304
```

- Calculated formation energy: -0.3272 eV per atom

=====

YAlIO2: optimized geometry, GGA-PBE.

Structure (extended XYZ):
```
5
Lattice="4.384 0.000 0.000 0.000 4.384 0.000 0.000 0.000 6.405" Properties=species:S:1:pos:R:3 pbc="T T T"
O 0.000 2.192 0.000
O 2.192 0.000 0.000
I 0.000 0.000 3.203
Al 2.192 2.192 3.203
Y 0.000 0.000 0.000
```

- Total DFT energy (no corrections): -5.4931 eV/atom

=====

Nd2ZnSn4Pt3: optimized geometry, GGA-PBE.

Structure (extended XYZ):
```
10
Lattice="-2.915 -1.995 2.738 3.092 -0.089 3.227 -3.520 10.157 3.654" Properties=species:S:1:pos:R:3 pbc="T T T"
Sn 0.262 3.660 2.946
Sn 0.088 -1.042 2.982
Sn -3.694 5.455 3.690
Sn 0.000 0.000 0.000
Nd -1.059 7.469 4.316
Nd -2.374 1.645 2.320
Pt 1.072 1.322 2.105
Pt -1.760 5.078 1.827
Pt -4.504 7.793 4.531
Zn -1.672 4.036 4.809
```

- Calculated formation energy: -0.7567 eV per atom

=====

Tl8SnHg5: optimized geometry, GGA-PBE.

Structure (extended XYZ):
```
14
Lattice="7.771 0.000 -2.723 -3.853 6.735 -2.755 -0.065 0.000 8.234" Properties=species:S:1:pos:R:3 pbc="T T T"
Tl 1.033 1.607 1.604
Tl 7.199 0.704 3.172
Tl 1.163 4.012 -1.142
Tl -1.813 5.130 2.051
Tl 3.149 2.723 4.226
Tl 5.208 1.606 0.377
Tl 1.476 6.032 3.031
Tl -2.001 5.128 -2.296
Hg 3.472 5.730 -2.597
Hg 2.583 1.005 -1.354
Hg 3.369 4.132 1.174
Hg 6.118 2.603 -2.669
Hg 3.853 0.000 2.755
Sn -0.032 3.368 4.117
```

- Calculated formation energy: 0.0168 eV per atom